This record from Alexandria describes a relaxed ScTaCd2 crystal. The functional is GGA-PBE.

Calculated formation energy = 0.40 eV/atom

a b c (Å): 4.918 4.918 4.918
angles (deg): 60.00 60.00 60.00
Element x y z (fractional)
Cd  0.250  0.250  0.250
Sc  0.500  0.500  0.500
Cd  0.000  0.000  0.000
Ta  0.750  0.750  0.750